The following is a DFT calculation (PBE-GGA) of a relaxed structure of TaWCl2.

abc: 2.941 3.215 18.451
angles: 90.00 90.00 90.00
Space group Imm2 (No. 44)
Symmetry-distinct sites (fractional):
Ta: 0.000 0.000 0.000 x2
W: 0.000 0.500 0.890 x2
Cl: 0.000 0.000 0.590 x2
Cl: 0.000 0.500 0.300 x2

## Properties
distance to the lowest polymorph of the same formula	0.4576	eV/atom

The following is a DFT calculation (PBE-GGA) of a relaxed structure of Si2SnTe6.

abc: 13.662 12.916 7.204
angles: 90.00 103.26 90.00
Space group C2/c (No. 15)
Symmetry-distinct sites (fractional):
Si: 0.199 0.060 0.224 x8
Sn: 0.000 0.377 0.250 x4
Te: 0.110 0.430 0.680 x8
Te: 0.131 0.101 0.520 x8
Te: 0.149 0.221 0.007 x8

## Properties
uncorrected energy	-3.759	eV/atom

The following is a DFT calculation (PBE-GGA) of a relaxed structure of NdSm5Ga6.

abc: 8.945 15.526 5.167
angles: 90.00 125.21 90.00
Space group C2/m (No. 12)
Symmetry-distinct sites (fractional):
Nd: 0.000 0.000 0.000 x2
Sm: 0.000 0.165 0.500 x4
Sm: 0.000 0.333 0.000 x4
Sm: 0.000 0.500 0.500 x2
Ga: 0.246 0.500 0.246 x4
Ga: 0.248 0.332 0.748 x8

## Properties
formation enthalpy at 0 K	-567	meV/atom

Number 1: total magnetization 0.000 μB/atom. Number 2: total magnetization 0.000 μB/atom. Number 3: total magnetization 0.000 μB/atom.